DFT (PBE with a Hubbard U) results for a relaxed structure of CdNiNO2.

a = 3.899 Å, b = 3.899 Å, c = 3.626 Å
α = 90.00°, β = 90.00°, γ = 90.00°
Sites, in units of the cell vectors:
Ni  0.000  0.000  0.000
N  0.000  0.000  0.500
O  0.000  0.500  0.000
O  0.500  0.000  0.000
Cd  0.500  0.500  0.500

## Properties
Space group: P4/mmm (123)
Uncorrected energy (eV/atom): -3.993
Density of states at the Fermi level (states/eV/cell): 3.1